1.
MgHgBi2 GGA-PBE optimized geometry; offset from the most stable computed form = 0.053 eV per atom; E_form = 18 meV/atom; total moment = 0.0 μB per formula unit; final energy = -2.397 eV per atom
1.0
4.964 0.000 0.000
2.482 4.299 0.000
2.482 1.433 5.737
Mg Bi Hg
1 2 1
Direct
0.674 0.674 0.979
0.068 0.068 0.797
0.257 0.257 0.228
0.501 0.501 0.496

2.
IrPt2 GGA-PBE optimized geometry; offset from the most stable computed form = 0.114 eV per atom; E_form = 154 meV/atom; total moment = 0.0 μB per formula unit; final energy = -6.827 eV per atom
1.0
1.380 -7.176 0.000
1.380 7.176 0.000
0.000 0.000 4.661
Pt Ir
4 2
Direct
0.776 0.224 0.250
0.443 0.557 0.250
0.224 0.776 0.750
0.557 0.443 0.750
0.109 0.891 0.250
0.891 0.109 0.750

- What is the formula in the first record?
  MgHgBi2

- What is the formula in the first record?
  MgHgBi2

- Look up the final energy of the first one.
  -2.397 eV per atom

- Which of these has the lowest E_form?
  MgHgBi2